An optimized crystal structure of LiTm2Ga2Rh5, computed with PBE.

Geometry as POSCAR:
```
LiTm2Ga2Rh5
1.0
3.4899 0.0000 0.0000
0.0000 9.7202 0.0000
0.0000 0.0000 9.7202
Li Tm Ga Rh
2 4 4 10
direct
0.0000 0.0000 0.0000
0.0000 0.5000 0.5000
0.0000 0.6719 0.1719
0.0000 0.3281 0.8281
0.0000 0.1719 0.3281
0.0000 0.8281 0.6719
0.0000 0.1278 0.6278
0.0000 0.8722 0.3722
0.0000 0.6278 0.8722
0.0000 0.3722 0.1278
0.5000 0.1995 0.0691
0.5000 0.8005 0.9309
0.5000 0.0691 0.8005
0.5000 0.6995 0.4309
0.5000 0.9309 0.1995
0.5000 0.3005 0.5691
0.5000 0.5691 0.6995
0.5000 0.4309 0.3005
0.5000 0.5000 0.0000
0.5000 0.0000 0.5000
```

Output
The calculation puts the density of states at the Fermi level at 3.95 states/eV/f.u. The value obtained for the formation energy is -6.77 eV per formula unit. For the total energy, the calculation gives -6.044 eV per atom.